1.
The following is a PBE calculation of a relaxed LaSbSN2 crystal, from Alexandria via LeMat-Bulk.

Calculated values
ΔE_f (raw): -0.11 eV per atom
energy: -6.0783 eV per atom
polymorph energy (0 for the lowest one): 0 meV per atom

a = 4.1755 Å, b = 4.1755 Å, c = 4.9787 Å
α = 90.00°, β = 90.00°, γ = 90.00°
Fractional positions:
Sb 0.0000 0.0000 0.0000
La 0.5000 0.5000 0.5000
S 0.0000 0.0000 0.5000
N 0.5000 0.0000 0.0000
N 0.0000 0.5000 0.0000

=====

2.
The following is a PBE calculation of a relaxed CeHo6Tm10 crystal, from Alexandria via LeMat-Bulk.

Calculated values
energy: -4.4458 eV per atom
E_form: 0.149 eV/atom

a = 6.7226 Å, b = 9.5193 Å, c = 9.5193 Å
α = 120.00°, β = 90.00°, γ = 90.00°
Fractional positions:
Ho 0.3038 0.3772 0.0000
Ho 0.3038 0.6228 0.6228
Ho 0.6962 0.3772 0.3772
Ho 0.6962 0.0000 0.6228
Ho 0.6962 0.6228 0.0000
Ho 0.3038 0.0000 0.3772
Tm 0.8191 0.0000 0.2750
Tm 0.1809 0.7250 0.0000
Tm 0.0000 0.6667 0.3333
Tm 0.1809 0.2750 0.2750
Tm 0.0000 0.3333 0.6667
Tm 0.8191 0.2750 0.0000
Tm 0.8191 0.7250 0.7250
Tm 0.1809 0.0000 0.7250
Tm 0.5000 0.3333 0.6667
Tm 0.5000 0.6667 0.3333
Ce 0.5000 0.0000 0.0000

=====

3.
The following is a PBE calculation of a relaxed CdAgRuSe2 crystal, from Alexandria via LeMat-Bulk.

Calculated values
ΔE_f (raw): 1.04 eV per atom
energy: -2.9615 eV per atom

a = 4.9874 Å, b = 5.0993 Å, c = 4.9874 Å
α = 90.00°, β = 90.00°, γ = 90.00°
Fractional positions:
Ru 0.0000 0.5000 0.0000
Se 0.5000 0.0000 0.0000
Se 0.0000 0.0000 0.5000
Ag 0.0000 0.0000 0.0000
Cd 0.5000 0.5000 0.5000

=====

4.
The following is a PBE calculation of a relaxed ZrMnB2N crystal, from Alexandria via LeMat-Bulk.

Calculated values
ΔE_f (raw): 0.36 eV per atom
energy: -7.5238 eV per atom

a = 3.6430 Å, b = 4.0654 Å, c = 3.6430 Å
α = 90.00°, β = 90.00°, γ = 90.00°
Fractional positions:
B 0.5000 0.0000 0.0000
B 0.0000 0.0000 0.5000
Zr 0.5000 0.5000 0.5000
Mn 0.0000 0.0000 0.0000
N 0.0000 0.5000 0.0000

=====

5.
The following is a PBE calculation of a relaxed CdSbPdI2 crystal, from Alexandria via LeMat-Bulk.

Calculated values
ΔE_f (raw): 0.18 eV per atom
energy: -2.4882 eV per atom
polymorph energy (0 for the lowest one): 0 meV per atom

a = 5.5779 Å, b = 5.5779 Å, c = 5.2763 Å
α = 90.00°, β = 90.00°, γ = 90.00°
Fractional positions:
Cd 0.5000 0.5000 0.5000
I 0.5000 0.0000 0.0000
I 0.0000 0.5000 0.0000
Pd 0.0000 0.0000 0.0000
Sb 0.0000 0.0000 0.5000

=====

6.
The following is a PBE calculation of a relaxed LaCuSe2 crystal, from Alexandria via LeMat-Bulk.

Calculated values
ΔE_f (raw): -1.05 eV per atom
energy: -5.0491 eV per atom

a = 3.7103 Å, b = 3.8767 Å, c = 6.7724 Å
α = 90.19°, β = 90.00°, γ = 90.00°
Fractional positions:
Cu 0.5000 0.2500 0.2500
Se 0.0000 0.2490 0.5038
Se 0.0000 0.2510 0.9962
La 0.5000 0.7500 0.7500

=====

> Look up the energy of the third one.

-2.9615 eV per atom

=====

> The lowest energy belongs to which entry?

ZrMnB2N